The following is a DFT calculation (PBE) of a relaxed structure of GaPdIN2.

```
GaPdIN2
1.0
3.832 0.000 0.000
0.000 3.832 0.000
0.000 0.000 7.570
Ga Pd I N
1 1 1 2
direct
0.000 0.000 0.000
0.500 0.500 0.500
0.000 0.000 0.500
0.000 0.500 0.000
0.500 0.000 0.000
```

For the magnetization, the calculation gives 2.33 μB/f.u. The space group is No. 123. As for the formation energy without anion corrections: 1.224 eV/atom.